# PrNdNi2B2N2 (GGA-PBE, optimized geometry)
data_PrNdNi2B2N2
_chemical_formula_sum 'Pr1 Nd1 Ni2 B2 N2'
_cell_length_a 3.658
_cell_length_b 3.658
_cell_length_c 7.551
_cell_angle_alpha 90.00
_cell_angle_beta 90.00
_cell_angle_gamma 90.00
_symmetry_space_group_name_H-M 'P 1'
_symmetry_Int_Tables_number 1
loop_
_symmetry_equiv_pos_as_xyz
'x,y,z'
loop_
_atom_site_label
_atom_site_type_symbol
_atom_site_fract_x
_atom_site_fract_y
_atom_site_fract_z
_atom_site_occupancy
Pr1 Pr 0.000 0.000 0.000 1
Nd1 Nd 0.500 0.500 0.343 1
Ni1 Ni 0.000 0.500 0.671 1
Ni2 Ni 0.500 0.000 0.671 1
B1 B 0.000 0.000 0.522 1
B2 B 0.500 0.500 0.823 1
N1 N 0.000 0.000 0.330 1
N2 N 0.500 0.500 0.015 1
# - Volume: 101.1 Å³ per cell
# - Final energy: -58.30 eV for the cell shown

# NdSm2Ni2B2N3 (GGA-PBE, optimized geometry)
data_NdSm2Ni2B2N3
_chemical_formula_sum 'Nd1 Sm2 Ni2 B2 N3'
_cell_length_a 10.491
_cell_length_b 10.491
_cell_length_c 10.491
_cell_angle_alpha 160.37
_cell_angle_beta 160.37
_cell_angle_gamma 27.90
_symmetry_space_group_name_H-M 'P 1'
_symmetry_Int_Tables_number 1
loop_
_symmetry_equiv_pos_as_xyz
'x,y,z'
loop_
_atom_site_label
_atom_site_type_symbol
_atom_site_fract_x
_atom_site_fract_y
_atom_site_fract_z
_atom_site_occupancy
Nd1 Nd 0.000 0.000 0.000 1
Sm1 Sm 0.375 0.375 0.000 1
Sm2 Sm 0.625 0.625 0.000 1
Ni1 Ni 0.250 0.750 0.500 1
Ni2 Ni 0.750 0.250 0.500 1
B1 B 0.192 0.192 0.000 1
B2 B 0.808 0.808 0.000 1
N1 N 0.121 0.121 0.000 1
N2 N 0.500 0.500 0.000 1
N3 N 0.879 0.879 0.000 1
# - Volume: 130.3 Å³ per cell
# - Final energy: -74.57 eV for the cell shown

# Nd2SmNi2B2N3 (GGA-PBE, optimized geometry)
data_Nd2SmNi2B2N3
_chemical_formula_sum 'Nd2 Sm1 Ni2 B2 N3'
_cell_length_a 10.445
_cell_length_b 10.445
_cell_length_c 10.445
_cell_angle_alpha 160.16
_cell_angle_beta 160.16
_cell_angle_gamma 28.21
_symmetry_space_group_name_H-M 'P 1'
_symmetry_Int_Tables_number 1
loop_
_symmetry_equiv_pos_as_xyz
'x,y,z'
loop_
_atom_site_label
_atom_site_type_symbol
_atom_site_fract_x
_atom_site_fract_y
_atom_site_fract_z
_atom_site_occupancy
Nd1 Nd 0.125 0.125 0.000 1
Nd2 Nd 0.875 0.875 0.000 1
Sm1 Sm 0.500 0.500 0.000 1
Ni1 Ni 0.250 0.750 0.500 1
Ni2 Ni 0.750 0.250 0.500 1
B1 B 0.308 0.308 0.000 1
B2 B 0.692 0.692 0.000 1
N1 N 0.000 0.000 0.000 1
N2 N 0.380 0.380 0.000 1
N3 N 0.620 0.620 0.000 1
# - Volume: 131.2 Å³ per cell
# - Final energy: -74.44 eV for the cell shown